(A)
This record from the Alexandria database describes an optimized crystal structure of CrTe2Mo. The functional is PBE.

Computed properties:
As for the crystal system: monoclinic. The total moment comes out at 1.2 Bohr magnetons per cell. The value obtained for the calculated density is 6.5 g/cm3. The value obtained for the density of states at the Fermi level is 1.9 states/eV per cell.

a b c (Å): 3.7838 3.7853 7.1756
angles (deg): 90.00 90.13 90.00
Last column: nearest neighbours and their distance in Å.
Space group Pm (No. 6)
One atom of each set of equivalent atoms:
Cr 0.0000 0.0000 0.0000 (multiplicity 1)  4 Mo 2.68, 4 Te 2.71
Te 0.5012 0.0000 0.2695 (multiplicity 1)  2 Cr 2.71, 2 Mo 2.71
Te 0.9989 0.5000 0.7306 (multiplicity 1)  2 Mo 2.71, 2 Cr 2.71
Mo 0.5001 0.5000 0.0001 (multiplicity 1)  4 Cr 2.68, 4 Te 2.71

***

(B)
This record from the Alexandria database describes an optimized crystal structure of CrTe2Mo. The functional is PBE.

Computed properties:
As for the crystal system: trigonal. The total moment comes out at 13.8 Bohr magnetons per cell. The value obtained for the calculated density is 7.7 g/cm3. The value obtained for the density of states at the Fermi level is 9.3 states/eV per cell.

a b c (Å): 3.5542 3.5542 23.7615
angles (deg): 90.00 90.00 120.00
Last column: nearest neighbours and their distance in Å.
Space group R-3m (No. 166, hexagonal axes)
One atom of each set of equivalent atoms:
Cr 0.0000 0.0000 0.0000 (multiplicity 3)  6 Te 2.91
Te 0.0000 0.0000 0.2467 (multiplicity 6)  3 Mo 2.80, 3 Cr 2.91
Mo 0.0000 0.0000 0.5000 (multiplicity 3)  6 Te 2.80

***

(C)
This record from the Alexandria database describes an optimized crystal structure of CrTe2Mo. The functional is PBE.

Computed properties:
As for the crystal system: orthorhombic. The total moment comes out at 4.9 Bohr magnetons per cell. The value obtained for the calculated density is 7.9 g/cm3. The value obtained for the density of states at the Fermi level is 5.2 states/eV per cell.

a b c (Å): 3.5330 3.9270 12.2178
angles (deg): 90.00 90.00 90.00
Last column: nearest neighbours and their distance in Å.
Space group Imm2 (No. 44)
One atom of each set of equivalent atoms:
Cr 0.0000 0.0000 0.0000 (multiplicity 2)  6 Te 2.70-2.99
Te 0.0000 0.0000 0.5477 (multiplicity 2)  4 Cr 2.70, 2 Mo 2.74
Te 0.0000 0.5000 0.3021 (multiplicity 2)  4 Mo 2.90, 2 Cr 2.99
Mo 0.0000 0.5000 0.7042 (multiplicity 2)  6 Te 2.74-2.90, 2 Cr 3.06

***

(D)
This record from the Alexandria database describes an optimized crystal structure of CrTe2Mo. The functional is PBE.

Computed properties:
As for the crystal system: cubic. The total moment comes out at 8.8 Bohr magnetons per cell. The value obtained for the calculated density is 8.0 g/cm3. The value obtained for the density of states at the Fermi level is 10.7 states/eV per cell.

a b c (Å): 6.9337 6.9337 6.9337
angles (deg): 90.00 90.00 90.00
Last column: nearest neighbours and their distance in Å.
Space group F-43m (No. 216)
One atom of each set of equivalent atoms:
Cr 0.0000 0.0000 0.0000 (multiplicity 4)  4 Te 3.00, 4 Mo 3.00
Te 0.0000 0.0000 0.5000 (multiplicity 4)  4 Mo 3.00, 4 Te 3.00
Te 0.2500 0.2500 0.7500 (multiplicity 4)  4 Cr 3.00, 4 Te 3.00
Mo 0.2500 0.2500 0.2500 (multiplicity 4)  4 Cr 3.00, 4 Te 3.00

***

What should be chosen as the most stable of them? Choose (A).

***

(A)
This record from the Alexandria database describes an optimized crystal structure of CrTe2Mo. The functional is PBE.

Computed properties:
As for the crystal system: tetragonal. The total moment comes out at 0.0 Bohr magnetons per cell. The value obtained for the calculated density is 7.9 g/cm3. The value obtained for the density of states at the Fermi level is 3.4 states/eV per cell.

a b c (Å): 3.2431 3.2431 8.0080
angles (deg): 90.00 90.00 90.00
Last column: nearest neighbours and their distance in Å.
Space group P4mm (No. 99)
One atom of each set of equivalent atoms:
Cr 0.0000 0.0000 0.0000 (multiplicity 1)  4 Te 2.71, 4 Mo 2.75
Te 0.0000 0.0000 0.3907 (multiplicity 1)  4 Mo 2.81, 1 Cr 3.13
Te 0.5000 0.5000 0.8205 (multiplicity 1)  4 Cr 2.71, 1 Mo 2.95
Mo 0.5000 0.5000 0.1890 (multiplicity 1)  4 Cr 2.75, 5 Te 2.81-2.95

***

(B)
This record from the Alexandria database describes an optimized crystal structure of CrTe2Mo. The functional is PBE.

Computed properties:
As for the crystal system: monoclinic. The total moment comes out at 7.3 Bohr magnetons per cell. The value obtained for the calculated density is 7.9 g/cm3. The value obtained for the density of states at the Fermi level is 4.6 states/eV per cell.

a b c (Å): 8.3129 3.5107 5.9202
angles (deg): 90.00 100.98 90.00
Last column: nearest neighbours and their distance in Å.
Space group C2/m (No. 12)
One atom of each set of equivalent atoms:
Cr 0.0000 0.0000 0.0000 (multiplicity 2)  6 Te 2.72-3.03
Te 0.2329 0.0000 0.7335 (multiplicity 4)  3 Cr 2.72-3.03, 3 Mo 2.78-2.83
Mo 0.0000 0.5000 0.5000 (multiplicity 2)  6 Te 2.78-2.83

***

What should be chosen as the most stable of them? Choose (A).

***

(A)
This record from the Alexandria database describes an optimized crystal structure of Cr3TeMo. The functional is PBE.

Computed properties:
As for the crystal system: cubic. The total moment comes out at 9.4 Bohr magnetons per cell. The value obtained for the calculated density is 5.8 g/cm3. The value obtained for the density of states at the Fermi level is 3.2 states/eV per cell.

a b c (Å): 4.7615 4.7615 4.7615
angles (deg): 90.00 90.00 90.00
Last column: nearest neighbours and their distance in Å.
Space group Pm-3m (No. 221)
One atom of each set of equivalent atoms:
Cr 0.0000 0.0000 0.5000 (multiplicity 3)  2 Mo 2.38
Te 0.5000 0.5000 0.5000 (multiplicity 1)  12 Cr 3.37
Mo 0.0000 0.0000 0.0000 (multiplicity 1)  6 Cr 2.38

***

(B)
This record from the Alexandria database describes an optimized crystal structure of Cr3TeMo. The functional is PBE.

Computed properties:
As for the crystal system: cubic. The total moment comes out at 0.0 Bohr magnetons per cell. The value obtained for the calculated density is 6.7 g/cm3. The value obtained for the density of states at the Fermi level is 11.3 states/eV per cell.

a b c (Å): 4.5517 4.5517 4.5517
angles (deg): 90.00 90.00 90.00
Last column: nearest neighbours and their distance in Å.
Space group Pm-3m (No. 221)
One atom of each set of equivalent atoms:
Cr 0.0000 0.0000 0.5000 (multiplicity 3)  2 Te 2.28
Te 0.0000 0.0000 0.0000 (multiplicity 1)  6 Cr 2.28
Mo 0.5000 0.5000 0.5000 (multiplicity 1)  12 Cr 3.22

***

What should be chosen as the most stable of them? Choose (A).

***

(A)
This record from the Alexandria database describes an optimized crystal structure of TlCrMo2. The functional is PBE.

Computed properties:
As for the crystal system: orthorhombic. The total moment comes out at 0.0 Bohr magnetons per cell. The value obtained for the calculated density is 11.1 g/cm3. The value obtained for the density of states at the Fermi level is 6.0 states/eV per cell.

a b c (Å): 3.1923 4.7132 8.9306
angles (deg): 90.00 90.00 90.00
Last column: nearest neighbours and their distance in Å.
Space group Cmmm (No. 65)
One atom of each set of equivalent atoms:
Tl 0.0000 0.0000 0.0000 (multiplicity 2)  4 Tl 2.85, 4 Mo 2.99
Cr 0.0000 0.0000 0.5000 (multiplicity 2)  4 Mo 2.51
Mo 0.0000 0.5000 0.2835 (multiplicity 4)  2 Cr 2.51

***

(B)
This record from the Alexandria database describes an optimized crystal structure of TlCrMo2. The functional is PBE.

Computed properties:
As for the crystal system: cubic. The total moment comes out at 11.4 Bohr magnetons per cell. The value obtained for the calculated density is 11.0 g/cm3. The value obtained for the density of states at the Fermi level is 6.0 states/eV per cell.

a b c (Å): 6.4674 6.4674 6.4674
angles (deg): 90.00 90.00 90.00
Last column: nearest neighbours and their distance in Å.
Space group F-43m (No. 216)
One atom of each set of equivalent atoms:
Tl 0.0000 0.0000 0.0000 (multiplicity 4)  4 Cr 2.80, 4 Mo 2.80
Cr 0.2500 0.2500 0.7500 (multiplicity 4)  4 Tl 2.80, 4 Mo 2.80
Mo 0.0000 0.0000 0.5000 (multiplicity 4)  4 Cr 2.80, 4 Mo 2.80
Mo 0.2500 0.2500 0.2500 (multiplicity 4)  4 Tl 2.80, 4 Mo 2.80

***

(C)
This record from the Alexandria database describes an optimized crystal structure of TlCrMo2. The functional is PBE.

Computed properties:
As for the crystal system: tetragonal. The total moment comes out at 11.4 Bohr magnetons per cell. The value obtained for the calculated density is 10.2 g/cm3. The value obtained for the density of states at the Fermi level is 16.4 states/eV per cell.

a b c (Å): 3.8239 3.8239 20.0355
angles (deg): 90.00 90.00 90.00
Last column: nearest neighbours and their distance in Å.
Space group I-42d (No. 122)
One atom of each set of equivalent atoms:
Tl 0.0000 0.0000 0.0000 (multiplicity 4)  4 Cr 2.70, 4 Mo 2.87
Cr 0.0000 0.0000 0.5000 (multiplicity 4)  4 Tl 2.70, 4 Mo 2.82
Mo 0.2290 0.2500 0.6250 (multiplicity 8)  4 Mo 2.59-2.82, 2 Cr 2.82, 2 Tl 2.87

***

(D)
This record from the Alexandria database describes an optimized crystal structure of TlCrMo2. The functional is PBE.

Computed properties:
As for the crystal system: monoclinic. The total moment comes out at 0.0 Bohr magnetons per cell. The value obtained for the calculated density is 11.0 g/cm3. The value obtained for the density of states at the Fermi level is 3.6 states/eV per cell.

a b c (Å): 2.9272 4.0068 5.8021
angles (deg): 90.00 97.03 90.00
Last column: nearest neighbours and their distance in Å.
Space group P2/m (No. 10)
One atom of each set of equivalent atoms:
Tl 0.0000 0.0000 0.0000 (multiplicity 1)  2 Cr 2.90, 2 Tl 2.93, 8 Mo 2.99-3.06
Cr 0.0000 0.0000 0.5000 (multiplicity 1)  4 Mo 2.53
Mo 0.4039 0.5000 0.6999 (multiplicity 2)  1 Mo 2.45, 2 Cr 2.53

***

What should be chosen as the most stable of them? Choose (D).